# 1
# LaErThCd

Crystalline LaErThCd at its relaxed geometry (GGA-PBE, Alexandria via LeMat-Bulk).

Computed properties:
Offset from the most stable computed form (meV/atom): 0
Space-group type: P4mm
Energy of formation (meV per atom): -168
Fermi-level density of states (states/eV/cell): 4.039

abc: 3.6332 3.6332 9.0774
angles: 90.00 90.00 90.00
Last column: nearest neighbours and their distance in Å.
Positions (direct):
La 0.0000 0.0000 0.0000  4 Cd 3.46, 4 Th 3.57, 4 La 3.63
Er 0.0000 0.0000 0.4684  4 Cd 3.22, 4 Th 3.48
Th 0.5000 0.5000 0.7262  4 Er 3.48, 4 La 3.57, 4 Th 3.63
Cd 0.5000 0.5000 0.2550  4 Er 3.22, 4 La 3.46

---

# 2
# LaErTlCd

Crystalline LaErTlCd at its relaxed geometry (GGA-PBE, Alexandria via LeMat-Bulk).

Computed properties:
Space-group type: F-43m
Energy of formation (meV per atom): -348
Fermi-level density of states (states/eV/cell): 4.690

abc: 5.4612 5.4612 5.4612
angles: 60.00 60.00 60.00
Last column: nearest neighbours and their distance in Å.
Positions (direct):
La 0.0000 0.0000 0.0000  4 Tl 3.34, 4 Cd 3.34
Er 0.5000 0.5000 0.5000  4 Cd 3.34, 4 Tl 3.34
Tl 0.7500 0.7500 0.7500  4 Er 3.34, 4 La 3.34
Cd 0.2500 0.2500 0.2500  4 Er 3.34, 4 La 3.34

---

# 3
# LaEr2Tl2Cd2

Crystalline LaEr2Tl2Cd2 at its relaxed geometry (GGA-PBE, Alexandria via LeMat-Bulk).

Computed properties:
Space-group type: R-3m
Energy of formation (meV per atom): -201
Fermi-level density of states (states/eV/cell): 4.744

abc: 9.3026 9.3026 9.3026
angles: 31.51 31.51 31.51
Last column: nearest neighbours and their distance in Å.
Positions (direct):
La 0.0000 0.0000 0.0000  6 Tl 3.42, 2 Er 3.59
Er 0.1354 0.1354 0.1354  3 Cd 3.04, 3 Er 3.36
Er 0.8646 0.8646 0.8646  3 Cd 3.04, 3 Er 3.36
Tl 0.2658 0.2658 0.2658  3 Cd 3.06, 3 La 3.42, 3 Er 3.43
Tl 0.7342 0.7342 0.7342  3 Cd 3.06, 3 La 3.42, 3 Er 3.43
Cd 0.4362 0.4362 0.4362  3 Er 3.04, 3 Tl 3.06, 1 Cd 3.38
Cd 0.5638 0.5638 0.5638  3 Er 3.04, 3 Tl 3.06, 1 Cd 3.38

---

# 4
# La2Er2TmCd5

Crystalline La2Er2TmCd5 at its relaxed geometry (GGA-PBE, Alexandria via LeMat-Bulk).

Computed properties:
Space-group type: P4/mbm
Energy of formation (meV per atom): -203
Fermi-level density of states (states/eV/cell): 14.296

abc: 10.7086 10.7086 4.7399
angles: 90.00 90.00 90.00
Last column: nearest neighbours and their distance in Å.
Positions (direct):
La 0.1754 0.3246 0.0000  3 Er 3.05-3.25
La 0.3246 0.8246 0.0000  3 Er 3.05-3.25
La 0.6754 0.1754 0.0000  3 Er 3.05-3.25
La 0.8246 0.6754 0.0000  3 Er 3.05-3.25
Er 0.1234 0.6234 0.0000  6 Cd 3.02-3.13, 3 La 3.05-3.25
Er 0.3766 0.1234 0.0000  6 Cd 3.02-3.13, 3 La 3.05-3.25
Er 0.6234 0.8766 0.0000  6 Cd 3.02-3.13, 3 La 3.05-3.25
Er 0.8766 0.3766 0.0000  6 Cd 3.02-3.13, 3 La 3.05-3.25
Tm 0.0000 0.0000 0.0000  8 Cd 3.23
Tm 0.5000 0.5000 0.0000  8 Cd 3.23
Cd 0.0000 0.5000 0.5000  4 Er 3.02, 4 Cd 3.35
Cd 0.0661 0.8057 0.5000  3 Cd 3.11-3.35, 2 Er 3.13, 2 Tm 3.23
Cd 0.1943 0.0661 0.5000  3 Cd 3.11-3.35, 2 Er 3.13, 2 Tm 3.23
Cd 0.3057 0.5661 0.5000  3 Cd 3.11-3.35, 2 Er 3.13, 2 Tm 3.23
Cd 0.4339 0.3057 0.5000  3 Cd 3.11-3.35, 2 Er 3.13, 2 Tm 3.23
Cd 0.5000 0.0000 0.5000  4 Er 3.02, 4 Cd 3.35
Cd 0.5661 0.6943 0.5000  3 Cd 3.11-3.35, 2 Er 3.13, 2 Tm 3.23
Cd 0.6943 0.4339 0.5000  3 Cd 3.11-3.35, 2 Er 3.13, 2 Tm 3.23
Cd 0.8057 0.9339 0.5000  3 Cd 3.11-3.35, 2 Er 3.13, 2 Tm 3.23
Cd 0.9339 0.1943 0.5000  3 Cd 3.11-3.35, 2 Er 3.13, 2 Tm 3.23